GdY3V4O16 PBE+U relaxed; D(E_F) = 0.0 states/eV/cell; uncorrected energy = -0.6367 Ry/atom; SG = C222
1.0
6.0333 -0.0062 0.0000
-2.6573 5.4166 0.0000
0.0000 0.0000 10.2456
O Y V Gd
16 3 4 1
direct
0.7323 0.4174 0.1564
0.5826 0.2677 0.8436
0.7663 0.5811 0.5926
0.7672 0.0847 0.6599
0.7329 0.9173 0.0922
0.0827 0.2671 0.9078
0.9153 0.2328 0.3401
0.9173 0.7329 0.9078
0.4174 0.7323 0.8436
0.2671 0.0827 0.0922
0.2328 0.9153 0.6599
0.2677 0.5826 0.1564
0.2337 0.4189 0.5926
0.4189 0.2337 0.4074
0.0847 0.7672 0.3401
0.5811 0.7663 0.4074
0.0000 0.5000 0.7508
0.5000 0.5000 0.0000
0.5000 0.0000 0.2492
0.5000 0.5000 0.5000
0.5000 0.0000 0.7520
0.0000 0.0000 0.0000
0.0000 0.5000 0.2480
0.0000 0.0000 0.5000